Entry 1:
The following is a DFT calculation (PBE) of a relaxed structure of Ce3Ga8Au3.

Output
distance to the lowest polymorph of the same formula = 0.240 eV per formula unit
V = 19.9 A^3/atom
ρ = 9.3 g/cm3
ΔH_f (0 K) = -0.52 eV/atom

Unit cell a=8.4422 b=8.4422 c=8.4422 alpha=149.26 beta=112.64 gamma=75.85
Last column: nearest neighbours and their distance in Å.
Fractional coordinates of all 14 atoms:
Ce: 0.0000 0.0000 0.0000  12 Ga 3.24-3.34, 4 Au 3.55
Ce: 0.3009 0.3009 0.0000  12 Ga 3.13-3.47, 4 Au 3.27-3.47
Ce: 0.6991 0.6991 0.0000  12 Ga 3.13-3.47, 4 Au 3.27-3.47
Ga: 0.0280 0.6611 0.3669  4 Ga 2.49-2.74, 1 Au 2.63
Ga: 0.1392 0.8578 0.2813  3 Ga 2.64-2.74, 3 Au 2.79-2.93
Ga: 0.2942 0.6611 0.6331  4 Ga 2.49-2.74, 1 Au 2.63
Ga: 0.4235 0.1422 0.2813  3 Ga 2.64-2.74, 3 Au 2.79-2.93
Ga: 0.5765 0.8578 0.7187  3 Ga 2.64-2.74, 3 Au 2.79-2.93
Ga: 0.7058 0.3389 0.3669  4 Ga 2.49-2.74, 1 Au 2.63
Ga: 0.8608 0.1422 0.7187  3 Ga 2.64-2.74, 3 Au 2.79-2.93
Ga: 0.9720 0.3389 0.6331  4 Ga 2.49-2.74, 1 Au 2.63
Au: 0.2949 0.5000 0.7949  6 Ga 2.63-2.93
Au: 0.5000 0.0000 0.5000  4 Ga 2.79, 4 Au 2.95
Au: 0.7051 0.5000 0.2051  6 Ga 2.63-2.93

***

Entry 2:
The following is a DFT calculation (PBE) of a relaxed structure of Na2CrSn2.

Output
V = 26.8 A^3/atom
ρ = 4.2 g/cm3
ΔH_f (0 K) = 0.13 eV/atom

Unit cell a=7.2588 b=7.2588 c=5.0875 alpha=90.00 beta=90.00 gamma=90.00
Last column: nearest neighbours and their distance in Å.
Fractional coordinates of all 10 atoms:
Na: 0.1677 0.3323 0.0000  6 Sn 3.20-3.40, 1 Na 3.44
Na: 0.3323 0.8323 0.0000  6 Sn 3.20-3.40, 1 Na 3.44
Na: 0.6677 0.1677 0.0000  6 Sn 3.20-3.40, 1 Na 3.44
Na: 0.8323 0.6677 0.0000  6 Sn 3.20-3.40, 1 Na 3.44
Cr: 0.0000 0.0000 0.5000  4 Sn 2.79
Cr: 0.5000 0.5000 0.5000  4 Sn 2.79
Sn: 0.1425 0.6425 0.5000  2 Cr 2.79, 1 Sn 2.93
Sn: 0.3575 0.1425 0.5000  2 Cr 2.79, 1 Sn 2.93
Sn: 0.6425 0.8575 0.5000  2 Cr 2.79, 1 Sn 2.93
Sn: 0.8575 0.3575 0.5000  2 Cr 2.79, 1 Sn 2.93

***

Entry 3:
The following is a DFT calculation (PBE) of a relaxed structure of Li2ZnRu.

Output
V = 13.4 A^3/atom
ρ = 5.6 g/cm3
ΔH_f (0 K) = 0.08 eV/atom

Unit cell a=4.4934 b=4.4934 c=4.4934 alpha=128.89 beta=128.89 gamma=75.18
Last column: nearest neighbours and their distance in Å.
Fractional coordinates of all 4 atoms:
Li: 0.0000 0.0000 0.0000  4 Li 2.63, 4 Ru 2.63, 4 Zn 2.74
Li: 0.7500 0.2500 0.5000  4 Zn 2.63, 4 Li 2.63, 4 Ru 2.74
Zn: 0.5000 0.5000 0.0000  8 Li 2.63-2.74, 4 Ru 2.63
Ru: 0.2500 0.7500 0.5000  4 Zn 2.63, 8 Li 2.63-2.74

***

Entry 4:
The following is a DFT calculation (PBE) of a relaxed structure of Cs2TlGe2I7.

Output
formation energy from raw total energies = -764 meV/atom
V = 46.0 A^3/atom
ρ = 4.5 g/cm3

Unit cell a=5.9825 b=5.9825 c=15.9556 alpha=100.34 beta=100.34 gamma=89.12
Last column: nearest neighbours and their distance in Å.
Fractional coordinates of all 12 atoms:
Cs: 0.1746 0.1746 0.3575  9 I 3.92-4.37
Cs: 0.8254 0.8254 0.6425  9 I 3.92-4.37
Tl: 0.0000 0.0000 0.0000  12 I 4.11-4.26
Ge: 0.3821 0.3821 0.8045  4 I 2.83-3.03
Ge: 0.6179 0.6179 0.1955  4 I 2.83-3.03
I: 0.0830 0.5855 0.1823  1 Ge 2.83
I: 0.3011 0.3011 0.6110  1 Ge 2.99
I: 0.4145 0.9170 0.8177  1 Ge 2.83
I: 0.5000 0.5000 0.0000  2 Ge 3.03
I: 0.5855 0.0830 0.1823  1 Ge 2.83
I: 0.6989 0.6989 0.3890  1 Ge 2.99
I: 0.9170 0.4145 0.8177  1 Ge 2.83

***

Entry 5:
The following is a DFT calculation (PBE) of a relaxed structure of NdZn12Ir6.

Output
V = 16.8 A^3/atom
ρ = 10.8 g/cm3
ΔH_f (0 K) = -0.06 eV/atom

Unit cell a=7.0968 b=7.0968 c=7.0968 alpha=104.03 beta=104.03 gamma=104.03
Last column: nearest neighbours and their distance in Å.
Fractional coordinates of all 19 atoms:
Nd: 0.0000 0.0000 0.0000  6 Zn 3.22
Zn: 0.1106 0.5000 0.8894  3 Zn 2.47-2.68, 4 Ir 2.53-2.58
Zn: 0.1106 0.8894 0.5000  3 Zn 2.47-2.68, 4 Ir 2.53-2.58
Zn: 0.1285 0.3970 0.3970  4 Ir 2.57-2.82, 2 Zn 2.68
Zn: 0.3970 0.1285 0.3970  4 Ir 2.57-2.82, 2 Zn 2.68
Zn: 0.3970 0.3970 0.1285  4 Ir 2.57-2.82, 2 Zn 2.68
Zn: 0.5000 0.1106 0.8894  3 Zn 2.47-2.68, 4 Ir 2.53-2.58
Zn: 0.5000 0.8894 0.1106  3 Zn 2.47-2.68, 4 Ir 2.53-2.58
Zn: 0.6030 0.6030 0.8715  4 Ir 2.57-2.82, 2 Zn 2.68
Zn: 0.6030 0.8715 0.6030  4 Ir 2.57-2.82, 2 Zn 2.68
Zn: 0.8715 0.6030 0.6030  4 Ir 2.57-2.82, 2 Zn 2.68
Zn: 0.8894 0.1106 0.5000  3 Zn 2.47-2.68, 4 Ir 2.53-2.58
Zn: 0.8894 0.5000 0.1106  3 Zn 2.47-2.68, 4 Ir 2.53-2.58
Ir: 0.2765 0.2765 0.6972  8 Zn 2.53-2.82
Ir: 0.2765 0.6972 0.2765  8 Zn 2.53-2.82
Ir: 0.3028 0.7235 0.7235  8 Zn 2.53-2.82
Ir: 0.6972 0.2765 0.2765  8 Zn 2.53-2.82
Ir: 0.7235 0.3028 0.7235  8 Zn 2.53-2.82
Ir: 0.7235 0.7235 0.3028  8 Zn 2.53-2.82

***

Q: Look up the V of the fifth one.
A: 16.8 A^3/atom

***

Please write out number 1 again, unchanged.
The following is a DFT calculation (PBE) of a relaxed structure of Ce3Ga8Au3.

Output
distance to the lowest polymorph of the same formula = 0.240 eV per formula unit
V = 19.9 A^3/atom
ρ = 9.3 g/cm3
ΔH_f (0 K) = -0.52 eV/atom

Unit cell a=8.4422 b=8.4422 c=8.4422 alpha=149.26 beta=112.64 gamma=75.85
Last column: nearest neighbours and their distance in Å.
Fractional coordinates of all 14 atoms:
Ce: 0.0000 0.0000 0.0000  12 Ga 3.24-3.34, 4 Au 3.55
Ce: 0.3009 0.3009 0.0000  12 Ga 3.13-3.47, 4 Au 3.27-3.47
Ce: 0.6991 0.6991 0.0000  12 Ga 3.13-3.47, 4 Au 3.27-3.47
Ga: 0.0280 0.6611 0.3669  4 Ga 2.49-2.74, 1 Au 2.63
Ga: 0.1392 0.8578 0.2813  3 Ga 2.64-2.74, 3 Au 2.79-2.93
Ga: 0.2942 0.6611 0.6331  4 Ga 2.49-2.74, 1 Au 2.63
Ga: 0.4235 0.1422 0.2813  3 Ga 2.64-2.74, 3 Au 2.79-2.93
Ga: 0.5765 0.8578 0.7187  3 Ga 2.64-2.74, 3 Au 2.79-2.93
Ga: 0.7058 0.3389 0.3669  4 Ga 2.49-2.74, 1 Au 2.63
Ga: 0.8608 0.1422 0.7187  3 Ga 2.64-2.74, 3 Au 2.79-2.93
Ga: 0.9720 0.3389 0.6331  4 Ga 2.49-2.74, 1 Au 2.63
Au: 0.2949 0.5000 0.7949  6 Ga 2.63-2.93
Au: 0.5000 0.0000 0.5000  4 Ga 2.79, 4 Au 2.95
Au: 0.7051 0.5000 0.2051  6 Ga 2.63-2.93

***

Q: Which formula does entry 3 have?
A: Li2ZnRu

***

Q: Which of these has the lowest ρ?
A: Na2CrSn2